[1]
Here is an optimized crystal structure of CuAg from OQMD. Energies are from PBE-GGA.

Computed properties:
symmetry: Cm
DFT total energy: -0.1165 Ha/atom

a = 11.3521 Å, b = 11.3521 Å, c = 4.7271 Å
α = 96.95°, β = 96.95°, γ = 14.33°
Fractional coordinates of all 10 atoms:
1 Cu 0.1911 0.1911 0.4047
2 Ag 0.5062 0.5062 0.4927
3 Cu 0.2971 0.2971 0.0949
4 Cu 0.6008 0.6008 0.1995
5 Cu 0.0100 0.0100 0.9983
6 Ag 0.4055 0.4055 0.8059
7 Ag 0.8969 0.8969 0.2952
8 Ag 0.6974 0.6974 0.9164
9 Ag 0.7934 0.7934 0.5884
10 Cu 0.1015 0.1015 0.7040

[2]
Here is an optimized crystal structure of CuAg from OQMD. Energies are from PBE-GGA.

Computed properties:
symmetry: P1
DFT total energy: -0.1171 Ha/atom

a = 2.7976 Å, b = 2.7982 Å, c = 39.8491 Å
α = 89.91°, β = 89.97°, γ = 60.02°
Fractional coordinates of all 18 atoms:
1 Ag 0.9973 0.0081 0.3377
2 Ag 0.9913 0.0365 0.1535
3 Ag 0.3245 0.3622 0.0919
4 Ag 0.6607 0.6712 0.0297
5 Ag 0.3384 0.3374 0.2764
6 Cu 0.9963 0.0068 0.6777
7 Ag 0.6572 0.7032 0.2150
8 Cu 0.6834 0.6632 0.7270
9 Cu 0.3632 0.3150 0.9249
10 Cu 0.3164 0.3450 0.6282
11 Cu 0.0105 0.9960 0.9740
12 Ag 0.6750 0.6654 0.3992
13 Cu 0.6543 0.6791 0.5792
14 Ag 0.3483 0.3289 0.4610
15 Ag 0.0065 0.0114 0.5234
16 Cu 0.0459 0.9677 0.8260
17 Cu 0.7129 0.6324 0.8754
18 Cu 0.3682 0.3151 0.7765

[3]
Here is an optimized crystal structure of Cu3Ag5 from OQMD. Energies are from PBE-GGA.

Computed properties:
symmetry: C2/m
energy relative to the lowest polymorph listed for this composition: 34 meV/atom

a = 9.5568 Å, b = 9.5568 Å, c = 4.7068 Å
α = 95.48°, β = 95.48°, γ = 17.02°
Fractional coordinates of all 8 atoms:
1 Ag 0.7296 0.7296 0.2407
2 Ag 0.2704 0.2704 0.7593
3 Cu 0.8924 0.8924 0.8359
4 Ag 0.6311 0.6311 0.6854
5 Ag 0.0000 0.0000 0.5000
6 Cu 0.5000 0.5000 0.0000
7 Cu 0.1076 0.1076 0.1641
8 Ag 0.3689 0.3689 0.3146